Record 1
The following is a DFT calculation (PBE) of a relaxed HfSbCl3 crystal.

a b c (Å): 5.4519 5.4519 5.4519
angles (deg): 90.00 90.00 90.00
With the nearest neighbours (Å) after each atom.
Element x y z (fractional)
Hf (0.0000, 0.0000, 0.0000)  12 Cl 3.86
Sb (0.5000, 0.5000, 0.5000)  6 Cl 2.73
Cl (0.0000, 0.5000, 0.5000)  2 Sb 2.73
Cl (0.5000, 0.0000, 0.5000)  2 Sb 2.73
Cl (0.5000, 0.5000, 0.0000)  2 Sb 2.73

Its density of states at the Fermi level is 7.1 states/eV/cell. The value obtained for the formation energy without anion corrections is 45 kJ per mole of atoms. Its crystal system is cubic. Its final energy is -17.31 eV/cell.

=====

Record 2
The following is a DFT calculation (PBE) of a relaxed BaNaV crystal.

a b c (Å): 4.3765 6.0238 9.1632
angles (deg): 70.82 88.11 89.94
With the nearest neighbours (Å) after each atom.
Element x y z (fractional)
Ba (0.0000, 0.0000, 0.0000)  2 V 3.30, 1 Na 3.59
Ba (0.1432, 0.7488, 0.5036)  3 V 3.46-3.64, 2 Na 3.79
Na (0.5646, 0.1724, 0.6563)  2 V 3.39-3.40, 4 Ba 3.59-3.80
Na (0.6178, 0.3922, 0.2163)  2 V 3.25-3.32
V (0.2399, 0.5504, 0.8991)  1 V 1.83
V (0.6413, 0.5842, 0.8319)  1 V 1.83

The value obtained for the energy of formation from the pure elements is 166 kJ/mol of formula units. Its density of states at the Fermi level is 5.5 states/eV/cell. Its crystal system is triclinic. Its final energy is -21.28 eV/cell.